# Ru3C4 | Alexandria via LeMat-Bulk | PBE-GGA | relaxed
# E = -55.8 eV/cell
# E_form = 1.274 eV per atom
# density = 7.778 Mg/m³
data_Ru3C4
_cell_length_a 4.217
_cell_length_b 4.217
_cell_length_c 4.217
_cell_angle_alpha 90.00
_cell_angle_beta 90.00
_cell_angle_gamma 90.00
_space_group_name_H-M_alt 'P m -3 m'
_space_group_IT_number 221
_space_group_name_Hall '-P 4 2 3'
loop_
_atom_site_label
_atom_site_type_symbol
_atom_site_fract_x
_atom_site_fract_y
_atom_site_fract_z
_atom_site_occupancy
Ru1 Ru 0.000 0.000 0.500 1
C1 C 0.000 0.000 0.000 1
C2 C 0.000 0.500 0.500 1